No. 1
CaScZn2Au5: relaxed, PBE.

```
CaScZn2Au5
1.0
4.716 0.000 0.000
0.000 4.716 0.000
0.000 0.000 8.106
Ca Sc Zn Au
1 1 2 5
Cartesian
0.000 0.000 0.000
0.000 0.000 4.053
2.358 2.358 2.865
2.358 2.358 5.241
0.000 2.358 1.986
0.000 2.358 6.120
2.358 0.000 1.986
2.358 0.000 6.120
2.358 2.358 0.000
```

Values from the calculation:
Energy of formation from the pure elements   -0.3737 eV per atom
Crystal system   tetragonal

No. 2
Pm5PrAl6: relaxed, PBE.

```
Pm5PrAl6
1.0
8.283 -3.715 0.000
8.283 3.715 0.000
-1.653 0.000 4.974
Pm Pr Al
5 1 6
Cartesian
0.000 0.000 0.000
1.677 0.000 3.323
5.001 0.000 1.667
9.912 0.000 3.307
13.236 0.000 1.651
8.283 0.000 0.000
4.127 1.880 4.138
7.457 1.904 2.487
10.786 1.880 0.836
4.127 -1.880 4.138
7.457 -1.904 2.487
10.786 -1.880 0.836
```

Values from the calculation:
Energy of formation from the pure elements   -0.3628 eV per atom
Crystal system   monoclinic

No. 3
HgAsIr2: relaxed, PBE.

```
HgAsIr2
1.0
4.622 0.000 0.000
0.000 3.025 0.000
-2.023 0.000 4.802
Hg As Ir
1 1 2
Cartesian
0.000 0.000 0.000
-1.012 1.512 2.401
1.299 0.000 2.401
2.311 1.512 0.000
```

Values from the calculation:
Relative energy among the computed polymorphs   241.4 meV/atom
Energy of formation from the pure elements   0.4717 eV per atom
Crystal system   monoclinic

No. 4
TaNiH4: relaxed, PBE.

```
TaNiH4
1.0
3.388 0.000 0.000
0.000 5.376 0.000
-0.424 0.000 4.788
Ta Ni H
2 2 8
Cartesian
0.690 1.344 0.435
2.275 4.032 4.353
1.065 4.032 1.803
1.900 1.344 2.985
0.053 3.020 1.018
0.053 5.044 1.018
0.472 1.344 2.329
0.601 4.032 3.484
2.364 1.344 1.303
2.493 4.032 2.458
2.912 0.332 3.770
2.912 2.356 3.770
```

Values from the calculation:
Crystal system   monoclinic

No. 5
TaMo2Se4: relaxed, PBE.

```
TaMo2Se4
1.0
6.984 -1.641 0.000
6.984 1.641 0.000
-2.593 0.000 5.832
Ta Mo Se
1 2 4
Cartesian
0.000 0.000 0.000
2.737 0.000 1.857
8.638 0.000 3.975
0.326 0.000 2.604
4.939 0.000 0.184
6.436 0.000 5.648
11.050 0.000 3.228
```

Values from the calculation:
Energy relative to the elements, uncorrected   -42.5 kJ per mole of atoms
Crystal system   monoclinic

No. 6
KCd5Cl11: relaxed, PBE.

```
KCd5Cl11
1.0
4.705 -7.083 0.000
4.705 7.083 0.000
-2.918 0.000 7.538
K Cd Cl
1 5 11
Cartesian
0.000 0.000 0.000
0.216 2.064 4.799
0.216 -2.064 4.799
4.705 0.000 0.000
6.277 2.064 2.739
6.277 -2.064 2.739
-1.459 0.000 3.769
1.914 4.116 5.078
-0.153 1.781 7.277
4.578 4.116 2.460
1.904 0.000 4.840
-0.153 -1.781 7.277
6.645 1.781 0.262
4.588 0.000 2.699
1.914 -4.116 5.078
6.645 -1.781 0.262
4.578 -4.116 2.460
```

Values from the calculation:
Energy relative to the elements, uncorrected   -111.1 kJ per mole of atoms
Crystal system   monoclinic

No. 7
YSbAs2: relaxed, PBE.

```
YSbAs2
1.0
-3.173 3.173 6.746
3.173 -3.173 6.746
3.173 3.173 -6.746
Y Sb As
2 2 4
Cartesian
0.000 0.000 0.000
0.000 3.173 3.373
3.173 0.000 3.373
0.000 0.000 6.746
1.586 -1.572 5.060
1.601 1.586 1.687
1.586 4.745 -1.687
1.572 1.586 8.433
```

Values from the calculation:
Energy relative to the elements, uncorrected   -30.9 kJ per mole of atoms
Crystal system   tetragonal

No. 8
AcNi2Sn2: relaxed, PBE.

```
AcNi2Sn2
1.0
4.565 0.000 0.000
0.000 4.565 0.000
0.000 0.000 10.401
Ac Ni Sn
2 4 4
Cartesian
1.141 1.141 2.493
3.423 3.423 7.907
1.141 1.141 6.537
1.141 3.423 0.000
3.423 1.141 0.000
3.423 3.423 3.864
1.141 1.141 9.140
1.141 3.423 5.200
3.423 1.141 5.200
3.423 3.423 1.260
```

Values from the calculation:
Relative energy among the computed polymorphs   0.0 meV/atom
Energy of formation from the pure elements   -0.5310 eV per atom
Crystal system   tetragonal

No. 9
GaPd3Au6: relaxed, PBE.

```
GaPd3Au6
1.0
7.043 0.000 0.000
0.000 6.572 0.000
-6.005 0.000 7.757
Ga Pd Au
2 6 12
Cartesian
0.000 0.000 0.000
-3.003 3.286 3.879
-1.617 1.232 4.263
1.385 2.054 0.385
3.521 0.000 0.000
0.519 3.286 3.879
-0.348 4.518 7.373
2.655 5.340 3.494
-4.221 0.768 5.524
-1.218 2.518 1.645
0.741 4.621 1.497
-2.262 5.237 5.376
0.667 0.687 2.694
-2.336 2.599 6.573
3.373 3.973 1.185
0.371 5.885 5.063
3.299 1.335 2.382
0.296 1.951 6.261
2.255 4.054 6.112
5.258 5.804 2.234
```

Values from the calculation:
Energy of formation from the pure elements   -0.0662 eV per atom
Crystal system   monoclinic

No. 10
Al2GaRh3: relaxed, PBE.

```
Al2GaRh3
1.0
3.015 0.000 0.000
0.000 3.015 0.000
0.000 0.000 9.026
Al Ga Rh
2 1 3
Cartesian
0.000 0.000 1.493
0.000 0.000 7.533
0.000 0.000 4.513
1.507 1.507 0.000
1.507 1.507 2.992
1.507 1.507 6.034
```

Values from the calculation:
Energy of formation from the pure elements   -0.9573 eV per atom
Crystal system   tetragonal

No. 11
CdBiAs2: relaxed, PBE.

```
CdBiAs2
1.0
0.000 3.612 3.612
3.612 0.000 3.612
3.612 3.612 0.000
Cd Bi As
1 1 2
Cartesian
0.000 0.000 0.000
3.612 3.612 3.612
1.806 1.806 1.806
5.418 5.418 5.418
```

Values from the calculation:
Relative energy among the computed polymorphs   158.1 meV/atom
Energy of formation from the pure elements   0.2443 eV per atom
Crystal system   cubic

No. 12
K3Tl2PtO6: relaxed, PBE.

```
K3Tl2PtO6
1.0
3.048 -5.261 0.000
3.048 5.261 0.000
-2.068 0.000 6.055
K Tl Pt O
3 2 1 6
Cartesian
0.000 0.000 0.000
3.048 1.772 0.000
3.048 -1.772 0.000
2.014 3.510 3.027
2.014 -3.510 3.027
2.014 0.000 3.027
1.153 1.499 1.894
0.283 0.000 4.154
1.153 -1.499 1.894
2.876 1.499 4.160
3.746 0.000 1.901
2.876 -1.499 4.160
```

Values from the calculation:
Energy relative to the elements, uncorrected   -93.5 kJ per mole of atoms
Crystal system   monoclinic

No. 13
LiPu2Sn8: relaxed, PBE.

```
LiPu2Sn8
1.0
4.713 0.000 0.000
0.000 4.713 0.000
-0.008 0.000 12.397
Li Pu Sn
1 2 8
Cartesian
0.000 0.000 0.000
4.708 0.000 3.828
-0.003 0.000 8.569
-0.004 2.356 6.199
0.001 2.356 10.834
2.351 2.356 3.913
2.353 0.000 1.564
2.353 0.000 6.199
2.352 0.000 10.834
2.354 2.356 8.485
4.704 2.356 1.564
```

Values from the calculation:
Energy of formation from the pure elements   -0.2863 eV per atom
Crystal system   monoclinic

No. 14
HoGaCu3: relaxed, PBE.

```
HoGaCu3
1.0
-2.507 3.499 4.644
2.507 -3.499 4.644
2.507 3.499 -4.644
Ho Ga Cu
2 2 6
Cartesian
0.000 1.750 0.066
2.507 1.750 4.578
2.507 0.000 0.000
0.000 0.000 4.644
1.253 3.072 -2.322
1.253 -0.427 2.322
2.507 1.750 1.746
0.000 1.750 2.898
-1.253 3.926 2.322
1.253 3.926 2.322
```

Values from the calculation:
Relative energy among the computed polymorphs   0.0 meV/atom
Energy of formation from the pure elements   -0.2299 eV per atom
Crystal system   orthorhombic

No. 15
PrAsI: relaxed, PBE.

```
PrAsI
1.0
-2.028 2.028 5.644
2.028 -2.028 5.644
2.028 2.028 -5.644
Pr As I
1 1 1
Cartesian
0.000 0.000 0.000
0.000 0.000 6.590
0.000 0.000 3.466
```

Values from the calculation:
Relative energy among the computed polymorphs   323.2 meV/atom
Energy relative to the elements, uncorrected   -83.0 kJ per mole of atoms
Crystal system   tetragonal

No. 16
NpCdIrRu: relaxed, PBE.

```
NpCdIrRu
1.0
0.000 3.311 3.311
3.311 0.000 3.311
3.311 3.311 0.000
Np Cd Ir Ru
1 1 1 1
Cartesian
0.000 0.000 0.000
3.311 3.311 3.311
1.655 1.655 1.655
4.966 4.966 4.966
```

Values from the calculation:
Energy of formation from the pure elements   -0.0472 eV per atom
Crystal system   cubic

No. 17
Nd9ErTl2: relaxed, PBE.

```
Nd9ErTl2
1.0
5.010 0.000 0.000
0.000 5.010 0.000
0.000 0.000 15.389
Nd Er Tl
9 1 2
Cartesian
0.000 0.000 0.000
0.000 0.000 5.174
0.000 0.000 10.215
0.000 2.505 2.641
0.000 2.505 7.694
0.000 2.505 12.748
2.505 0.000 2.641
2.505 0.000 7.694
2.505 0.000 12.748
2.505 2.505 0.000
2.505 2.505 5.217
2.505 2.505 10.172
```

Values from the calculation:
Energy of formation from the pure elements   -0.1270 eV per atom
Crystal system   tetragonal

No. 18
Pr2SO: relaxed, PBE.

```
Pr2SO
1.0
1.909 1.102 6.464
-1.909 1.102 6.464
0.000 -2.204 6.464
Pr S O
2 1 1
Cartesian
0.000 0.000 4.592
0.000 0.000 14.799
0.000 0.000 0.000
0.000 0.000 9.696
```

Values from the calculation:
Relative energy among the computed polymorphs   0.0 meV/atom
Energy relative to the elements, uncorrected   -222.4 kJ per mole of atoms
Crystal system   trigonal

No. 19
ScSn2Bi: relaxed, PBE.

```
ScSn2Bi
1.0
4.618 0.000 0.000
0.000 4.618 0.000
0.000 0.000 4.954
Sc Sn Bi
1 2 1
Cartesian
0.000 0.000 0.000
0.000 2.309 2.477
2.309 0.000 2.477
2.309 2.309 0.000
```

Values from the calculation:
Energy of formation from the pure elements   -0.2020 eV per atom
Crystal system   tetragonal

No. 20
Hf3Cu: relaxed, PBE.

```
Hf3Cu
1.0
4.275 0.000 0.000
0.000 4.275 0.000
0.000 0.000 4.275
Hf Cu
3 1
Cartesian
0.000 0.000 2.137
0.000 2.137 0.000
2.137 0.000 0.000
2.137 2.137 2.137
```

Values from the calculation:
Energy of formation from the pure elements   0.0759 eV per atom
Crystal system   cubic

Number 1: E_tot -3.40 eV/atom. Number 2: E_tot -4.61 eV/atom. Number 3: E_tot -5.20 eV/atom. Number 4: E_tot -5.15 eV/atom. Number 5: E_tot -7.22 eV/atom. Number 6: E_tot -2.68 eV/atom. Number 7: E_tot -5.29 eV/atom. Number 8: E_tot -5.27 eV/atom. Number 9: E_tot -3.89 eV/atom. Number 10: E_tot -6.39 eV/atom. Number 11: E_tot -3.28 eV/atom. Number 12: E_tot -4.62 eV/atom. Number 13: E_tot -5.98 eV/atom. Number 14: E_tot -4.21 eV/atom. Number 15: E_tot -4.52 eV/atom. Number 16: E_tot -8.05 eV/atom. Number 17: E_tot -4.48 eV/atom. Number 18: E_tot -6.97 eV/atom. Number 19: E_tot -4.76 eV/atom. Number 20: E_tot -8.41 eV/atom.